No. 1
# CrPCl2

A relaxed CrPCl2 crystal (GGA-PBE, the Alexandria database).

Cell lengths 8.391, 3.148, 7.222 Å; angles 90.00, 108.46, 90.00 degrees
Space group Cm (No. 8)
Symmetry-distinct sites (fractional):
Cr (0.000, 0.000, 0.000)
P (0.292, 0.000, 0.000)
Cl (0.123, 0.500, 0.258)
Cl (0.482, 0.000, 0.742)

Computed properties:
Theoretical density = 2.82 Mg/m³
Magnetic moment = 1.0 μB/f.u.
Formation energy from raw total energies = -119 kJ/mol of formula units

No. 2
# CrPCl2

A relaxed CrPCl2 crystal (GGA-PBE, the Alexandria database).

Cell lengths 15.039, 3.279, 3.718 Å; angles 90.00, 91.76, 90.00 degrees
Space group C2/m (No. 12)
Symmetry-distinct sites (fractional):
Cr (0.000, 0.000, 0.000)
P (0.000, 0.500, 0.500)
Cl (0.138, 0.500, 0.223)

Computed properties:
Theoretical density = 2.79 Mg/m³
Magnetic moment = 3.1 μB/f.u.
Formation energy from raw total energies = -99 kJ/mol of formula units

No. 3
# CrPCl2

A relaxed CrPCl2 crystal (GGA-PBE, the Alexandria database).

Cell lengths 3.656, 3.656, 12.024 Å; angles 90.00, 90.00, 90.00 degrees
Space group I-4m2 (No. 119)
Symmetry-distinct sites (fractional):
Cr (0.000, 0.000, 0.000)
P (0.000, 0.500, 0.750)
Cl (0.000, 0.000, 0.500)
Cl (0.000, 0.500, 0.250)

Computed properties:
Theoretical density = 3.18 Mg/m³
Magnetic moment = 3.9 μB/f.u.
Formation energy from raw total energies = 128 kJ/mol of formula units

No. 4
# CrP2Cl

A relaxed CrP2Cl crystal (GGA-PBE, the Alexandria database).

Cell lengths 4.485, 3.223, 7.064 Å; angles 90.00, 99.48, 90.00 degrees
Space group Pm (No. 6)
Symmetry-distinct sites (fractional):
Cr (0.000, 0.000, 0.000)
P (0.483, 0.000, 0.882)
P (0.694, 0.500, 0.736)
Cl (0.087, 0.500, 0.236)

Computed properties:
Theoretical density = 2.46 Mg/m³
Magnetic moment = 3.0 μB/f.u.
Formation energy from raw total energies = -108 kJ/mol of formula units